Entry 1:
This record from the Alexandria database describes Zr2TiB2 after structural relaxation. The functional is PBE-GGA.

Lattice parameters (Å, degrees): 6.378 6.378 3.495 90.00 90.00 90.00
Fractional coordinates of all 10 atoms:
Zr 0.181 0.319 0.000
Zr 0.319 0.819 0.000
Zr 0.681 0.181 0.000
Zr 0.819 0.681 0.000
Ti 0.000 0.000 0.500
Ti 0.500 0.500 0.500
B 0.100 0.600 0.500
B 0.400 0.100 0.500
B 0.600 0.900 0.500
B 0.900 0.400 0.500

Computed properties:
Its space group is P4/mbm. The value obtained for the density of states at the Fermi level is 0.800 states/eV/atom. For the calculated total energy, the calculation gives -8.1894 eV per atom.

---

Entry 2:
This record from the Alexandria database describes ZrTi3B after structural relaxation. The functional is PBE-GGA.

Lattice parameters (Å, degrees): 4.719 4.719 4.719 90.00 90.00 90.00
Fractional coordinates of all 5 atoms:
Zr 0.000 0.000 0.000
Ti 0.000 0.000 0.500
Ti 0.000 0.500 0.000
Ti 0.500 0.000 0.000
B 0.500 0.500 0.500

Computed properties:
Its space group is Pm-3m. The value obtained for the density of states at the Fermi level is 1.404 states/eV/atom. For the calculated total energy, the calculation gives -5.7988 eV per atom.

---

Entry 3:
This record from the Alexandria database describes ZrTiB2 after structural relaxation. The functional is PBE-GGA.

Lattice parameters (Å, degrees): 6.938 6.938 6.938 141.00 141.00 56.34
Fractional coordinates of all 8 atoms:
Zr 0.000 0.000 0.000
Zr 0.750 0.250 0.500
Ti 0.250 0.750 0.500
Ti 0.500 0.500 0.000
B 0.165 0.625 0.040
B 0.375 0.415 0.540
B 0.585 0.125 0.960
B 0.875 0.835 0.460

Computed properties:
Its space group is I-42d. The value obtained for the density of states at the Fermi level is 1.195 states/eV/atom. For the calculated total energy, the calculation gives -6.8453 eV per atom.

---

Entry 4:
This record from the Alexandria database describes ZrTiB2 after structural relaxation. The functional is PBE-GGA.

Lattice parameters (Å, degrees): 4.132 4.132 4.132 60.00 60.00 60.00
Fractional coordinates of all 4 atoms:
Zr 0.000 0.000 0.000
Ti 0.500 0.500 0.500
B 0.250 0.250 0.250
B 0.750 0.750 0.750

Computed properties:
Its space group is Fm-3m. The value obtained for the density of states at the Fermi level is 1.815 states/eV/atom. For the calculated total energy, the calculation gives -7.3428 eV per atom.

---

Entry 5:
This record from the Alexandria database describes ZrTiB4 after structural relaxation. The functional is PBE-GGA.

Lattice parameters (Å, degrees): 5.951 11.500 3.442 90.00 90.00 90.00
Fractional coordinates of all 24 atoms:
Zr 0.123 0.151 0.000
Zr 0.377 0.651 0.000
Zr 0.623 0.349 0.000
Zr 0.877 0.849 0.000
Ti 0.134 0.413 0.000
Ti 0.366 0.913 0.000
Ti 0.634 0.087 0.000
Ti 0.866 0.587 0.000
B 0.019 0.696 0.500
B 0.117 0.549 0.500
B 0.130 0.968 0.500
B 0.204 0.812 0.500
B 0.296 0.312 0.500
B 0.370 0.468 0.500
B 0.383 0.049 0.500
B 0.481 0.196 0.500
B 0.519 0.804 0.500
B 0.617 0.951 0.500
B 0.630 0.532 0.500
B 0.704 0.688 0.500
B 0.796 0.188 0.500
B 0.870 0.032 0.500
B 0.883 0.451 0.500
B 0.981 0.304 0.500

Computed properties:
Its space group is Pbam. The value obtained for the density of states at the Fermi level is 0.123 states/eV/atom. For the calculated total energy, the calculation gives -7.9769 eV per atom.

---

Entry 6:
This record from the Alexandria database describes ZrTi2B after structural relaxation. The functional is PBE-GGA.

Lattice parameters (Å, degrees): 5.232 5.232 7.502 90.00 90.00 142.67
Fractional coordinates of all 8 atoms:
Zr 0.070 0.930 0.750
Zr 0.930 0.070 0.250
Ti 0.352 0.648 0.559
Ti 0.352 0.648 0.941
Ti 0.648 0.352 0.059
Ti 0.648 0.352 0.441
B 0.236 0.764 0.250
B 0.764 0.236 0.750

Computed properties:
Its space group is Cmcm. The value obtained for the density of states at the Fermi level is 1.393 states/eV/atom. For the calculated total energy, the calculation gives -8.0369 eV per atom.

---

Entry 7:
This record from the Alexandria database describes ZrTi2B2 after structural relaxation. The functional is PBE-GGA.

Lattice parameters (Å, degrees): 6.287 6.287 3.274 90.00 90.00 90.00
Fractional coordinates of all 10 atoms:
Zr 0.000 0.000 0.000
Zr 0.500 0.500 0.000
Ti 0.176 0.324 0.500
Ti 0.324 0.824 0.500
Ti 0.676 0.176 0.500
Ti 0.824 0.676 0.500
B 0.099 0.599 0.000
B 0.401 0.099 0.000
B 0.599 0.901 0.000
B 0.901 0.401 0.000

Computed properties:
Its space group is P4/mbm. The value obtained for the density of states at the Fermi level is 1.152 states/eV/atom. For the calculated total energy, the calculation gives -7.9663 eV per atom.

---

Entry 8:
This record from the Alexandria database describes Zr3TiB after structural relaxation. The functional is PBE-GGA.

Lattice parameters (Å, degrees): 4.827 4.827 4.827 90.00 90.00 90.00
Fractional coordinates of all 5 atoms:
Zr 0.000 0.000 0.500
Zr 0.000 0.500 0.000
Zr 0.500 0.000 0.000
Ti 0.000 0.000 0.000
B 0.500 0.500 0.500

Computed properties:
Its space group is Pm-3m. The value obtained for the density of states at the Fermi level is 1.607 states/eV/atom. For the calculated total energy, the calculation gives -6.5015 eV per atom.

---

Entry 9:
This record from the Alexandria database describes ZrTi2B6 after structural relaxation. The functional is PBE-GGA.

Lattice parameters (Å, degrees): 5.337 5.337 3.370 90.00 90.00 120.00
Fractional coordinates of all 9 atoms:
Zr 0.000 0.000 0.000
Ti 0.333 0.667 0.000
Ti 0.667 0.333 0.000
B 0.000 0.338 0.500
B 0.000 0.662 0.500
B 0.338 0.000 0.500
B 0.338 0.338 0.500
B 0.662 0.000 0.500
B 0.662 0.662 0.500

Computed properties:
Its space group is P6/mmm. The value obtained for the density of states at the Fermi level is 0.292 states/eV/atom. For the calculated total energy, the calculation gives -8.1463 eV per atom.

---

Entry 10:
This record from the Alexandria database describes ZrTi4B4 after structural relaxation. The functional is PBE-GGA.

Lattice parameters (Å, degrees): 7.341 7.341 4.480 90.00 90.00 90.00
Fractional coordinates of all 18 atoms:
Zr 0.250 0.250 0.250
Zr 0.750 0.750 0.750
Ti 0.099 0.642 0.126
Ti 0.142 0.901 0.626
Ti 0.358 0.599 0.626
Ti 0.401 0.858 0.126
Ti 0.599 0.142 0.874
Ti 0.642 0.401 0.374
Ti 0.858 0.099 0.374
Ti 0.901 0.358 0.874
B 0.045 0.581 0.621
B 0.081 0.955 0.121
B 0.419 0.545 0.121
B 0.455 0.919 0.621
B 0.545 0.081 0.379
B 0.581 0.455 0.879
B 0.919 0.045 0.879
B 0.955 0.419 0.379

Computed properties:
Its space group is P4_2/n. The value obtained for the density of states at the Fermi level is 0.693 states/eV/atom. For the calculated total energy, the calculation gives -7.7741 eV per atom.

---

Entry 11:
This record from the Alexandria database describes ZrTi3B after structural relaxation. The functional is PBE-GGA.

Lattice parameters (Å, degrees): 4.394 4.394 4.394 90.00 90.00 90.00
Fractional coordinates of all 5 atoms:
Zr 0.000 0.000 0.000
Ti 0.000 0.500 0.500
Ti 0.500 0.000 0.500
Ti 0.500 0.500 0.000
B 0.500 0.500 0.500

Computed properties:
Its space group is Pm-3m. The value obtained for the density of states at the Fermi level is 1.257 states/eV/atom. For the calculated total energy, the calculation gives -7.8188 eV per atom.

---

Entry 12:
This record from the Alexandria database describes ZrTiB4 after structural relaxation. The functional is PBE-GGA.

Lattice parameters (Å, degrees): 3.107 3.107 6.790 90.00 90.00 120.00
Fractional coordinates of all 6 atoms:
Zr 0.000 0.000 0.000
Ti 0.000 0.000 0.500
B 0.333 0.667 0.267
B 0.333 0.667 0.733
B 0.667 0.333 0.267
B 0.667 0.333 0.733

Computed properties:
Its space group is P6/mmm. The value obtained for the density of states at the Fermi level is 0.105 states/eV/atom. For the calculated total energy, the calculation gives -8.1971 eV per atom.